Record 1
A plane-wave DFT calculation with PBE-GGA was carried out for crystalline ZrBi3S at its relaxed geometry.

Summary:
The value obtained for the energy above the most stable polymorph in this dataset is 0.0 meV per atom. For the raw formation energy, the calculation gives 0.471 eV/atom. As for the magnetic moment: 0.0 μB per cell.

a = 5.3150 Å, b = 5.3150 Å, c = 5.3150 Å
α = 90.00°, β = 90.00°, γ = 90.00°
Last column: nearest neighbours and their distance in Å.
Positions (direct):
Zr 0.0000 0.0000 0.0000  12 Bi 3.76
Bi 0.0000 0.5000 0.5000  2 S 2.66
Bi 0.5000 0.0000 0.5000  2 S 2.66
Bi 0.5000 0.5000 0.0000  2 S 2.66
S 0.5000 0.5000 0.5000  6 Bi 2.66


Record 2
A plane-wave DFT calculation with PBE-GGA was carried out for crystalline Tb3NdPb at its relaxed geometry.

Summary:
As for the magnetic moment: 0.0 μB per cell. The value obtained for the formation energy is -0.151 eV/atom.

a = 8.7777 Å, b = 8.7982 Å, c = 9.7742 Å
α = 90.00°, β = 121.42°, γ = 90.00°
Last column: nearest neighbours and their distance in Å.
Positions (direct):
Tb 0.0897 0.1945 0.0515  2 Pb 3.32-3.49, 3 Tb 3.48-3.68, 1 Nd 3.63
Tb 0.0897 0.3055 0.5515  2 Pb 3.32-3.49, 3 Tb 3.48-3.68, 1 Nd 3.63
Tb 0.2380 0.5653 0.9600  2 Pb 3.14-3.29, 2 Nd 3.45-3.48, 1 Tb 3.46
Tb 0.2380 0.9347 0.4600  2 Pb 3.14-3.29, 2 Nd 3.45-3.48, 1 Tb 3.46
Tb 0.4064 0.5948 0.7003  2 Pb 3.14-3.18, 1 Nd 3.43, 2 Tb 3.46-3.48
Tb 0.4064 0.9052 0.2003  2 Pb 3.14-3.18, 1 Nd 3.43, 2 Tb 3.46-3.48
Tb 0.5936 0.0948 0.7997  2 Pb 3.14-3.18, 1 Nd 3.43, 2 Tb 3.46-3.48
Tb 0.5936 0.4052 0.2997  2 Pb 3.14-3.18, 1 Nd 3.43, 2 Tb 3.46-3.48
Tb 0.7620 0.0653 0.5400  2 Pb 3.14-3.29, 2 Nd 3.45-3.48, 1 Tb 3.46
Tb 0.7620 0.4347 0.0400  2 Pb 3.14-3.29, 2 Nd 3.45-3.48, 1 Tb 3.46
Tb 0.9103 0.6945 0.4485  2 Pb 3.32-3.49, 3 Tb 3.48-3.68, 1 Nd 3.63
Tb 0.9103 0.8055 0.9485  2 Pb 3.32-3.49, 3 Tb 3.48-3.68, 1 Nd 3.63
Nd 0.1948 0.5669 0.2914  2 Pb 3.23-3.48, 4 Tb 3.43-3.56
Nd 0.1948 0.9331 0.7914  2 Pb 3.23-3.48, 4 Tb 3.43-3.56
Nd 0.8052 0.0669 0.2086  2 Pb 3.23-3.48, 4 Tb 3.43-3.56
Nd 0.8052 0.4331 0.7086  2 Pb 3.23-3.48, 4 Tb 3.43-3.56
Pb 0.3989 0.2472 0.9574  6 Tb 3.14-3.49, 2 Nd 3.23-3.48
Pb 0.3989 0.2528 0.4574  6 Tb 3.14-3.49, 2 Nd 3.23-3.48
Pb 0.6011 0.7472 0.5426  6 Tb 3.14-3.49, 2 Nd 3.23-3.48
Pb 0.6011 0.7528 0.0426  6 Tb 3.14-3.49, 2 Nd 3.23-3.48


Record 3
A plane-wave DFT calculation with PBE-GGA was carried out for crystalline PmZrGa2Ir2 at its relaxed geometry.

Summary:
As for the magnetic moment: 0.0 μB per cell. The value obtained for the formation energy is -0.766 eV/atom.

a = 4.4136 Å, b = 4.4136 Å, c = 6.8887 Å
α = 90.00°, β = 90.00°, γ = 120.00°
Last column: nearest neighbours and their distance in Å.
Positions (direct):
Pm 0.0000 0.0000 0.0000  6 Ga 3.22, 6 Ir 3.27, 2 Zr 3.44
Zr 0.0000 0.0000 0.5000  6 Ir 2.90, 6 Ga 2.95
Ga 0.3333 0.6667 0.2848  3 Ir 2.55
Ga 0.6667 0.3333 0.7152  3 Ir 2.55
Ir 0.3333 0.6667 0.7016  3 Ga 2.55
Ir 0.6667 0.3333 0.2984  3 Ga 2.55


Record 4
A plane-wave DFT calculation with PBE-GGA was carried out for crystalline Ac2Pr2Ho5 at its relaxed geometry.

Summary:
As for the magnetic moment: 0.0 μB per cell. The value obtained for the formation energy is 0.220 eV/atom.

a = 11.2020 Å, b = 11.2020 Å, c = 8.3803 Å
α = 98.45°, β = 98.45°, γ = 18.65°
Last column: nearest neighbours and their distance in Å.
Positions (direct):
Ac 0.1830 0.1830 0.1353  2 Ac 3.63, 5 Ho 3.66-4.04
Ac 0.8170 0.8170 0.8647  2 Ac 3.63, 5 Ho 3.66-4.04
Pr 0.4525 0.4525 0.6500  7 Ho 3.29-3.63, 3 Pr 3.51-3.63
Pr 0.5475 0.5475 0.3500  7 Ho 3.29-3.63, 3 Pr 3.51-3.63
Ho 0.0000 0.0000 0.0000  4 Ho 3.35-3.63, 4 Pr 3.48
Ho 0.0947 0.0947 0.7235  5 Ho 3.35-3.63, 4 Pr 3.60-3.63, 1 Ac 3.70
Ho 0.3096 0.3096 0.4717  1 Pr 3.29, 6 Ho 3.29-3.63, 1 Ac 3.66
Ho 0.6904 0.6904 0.5283  1 Pr 3.29, 6 Ho 3.29-3.63, 1 Ac 3.66
Ho 0.9053 0.9053 0.2765  5 Ho 3.35-3.63, 4 Pr 3.60-3.63, 1 Ac 3.70


Record 5
A plane-wave DFT calculation with PBE-GGA was carried out for crystalline SrHgP3 at its relaxed geometry.

Summary:
The value obtained for the energy above the most stable polymorph in this dataset is 0.0 meV per atom. As for the magnetic moment: 0.0 μB per cell. The value obtained for the formation energy is 0.471 eV/atom.

a = 5.0743 Å, b = 5.0743 Å, c = 5.0743 Å
α = 90.00°, β = 90.00°, γ = 90.00°
Last column: nearest neighbours and their distance in Å.
Positions (direct):
Sr 0.0000 0.0000 0.0000  12 P 3.59
Hg 0.5000 0.5000 0.5000  6 P 2.54
P 0.0000 0.5000 0.5000  2 Hg 2.54
P 0.5000 0.0000 0.5000  2 Hg 2.54
P 0.5000 0.5000 0.0000  2 Hg 2.54


Record 6
A plane-wave DFT calculation with PBE-GGA was carried out for crystalline As2PtW at its relaxed geometry.

Summary:
The value obtained for the energy above the most stable polymorph in this dataset is 78.9 meV per atom. As for the magnetic moment: 0.0 μB per cell. The value obtained for the formation energy is 0.120 eV/atom.

a = 8.3329 Å, b = 8.3329 Å, c = 8.3329 Å
α = 21.19°, β = 21.19°, γ = 21.19°
Last column: nearest neighbours and their distance in Å.
Positions (direct):
As 0.2453 0.2453 0.2453  3 W 2.61, 3 Pt 2.78
As 0.7547 0.7547 0.7547  3 W 2.61, 3 Pt 2.78
Pt 0.0000 0.0000 0.0000  6 As 2.78, 6 Pt 3.06
W 0.5000 0.5000 0.5000  6 As 2.61


Record 7
A plane-wave DFT calculation with PBE-GGA was carried out for crystalline CsGaSbI2 at its relaxed geometry.

Summary:
The value obtained for the energy above the most stable polymorph in this dataset is 0.0 meV per atom. For the raw formation energy, the calculation gives -0.428 eV/atom. As for the magnetic moment: 1.9 μB per cell.

a = 6.2582 Å, b = 6.2582 Å, c = 5.5014 Å
α = 90.00°, β = 90.00°, γ = 90.00°
Last column: nearest neighbours and their distance in Å.
Positions (direct):
Cs 0.0000 0.0000 0.0000  8 I 4.17, 4 Sb 4.43
Ga 0.5000 0.5000 0.5000  2 Sb 2.75
Sb 0.5000 0.5000 0.0000  2 Ga 2.75
I 0.0000 0.5000 0.5000  2 Ga 3.13
I 0.5000 0.0000 0.5000  2 Ga 3.13


Record 8
A plane-wave DFT calculation with PBE-GGA was carried out for crystalline ClF at its relaxed geometry.

Summary:
The value obtained for the energy above the most stable polymorph in this dataset is 51.7 meV per atom. For the raw formation energy, the calculation gives -0.358 eV/atom. As for the magnetic moment: 0.0 μB per cell.

a = 6.6480 Å, b = 3.6983 Å, c = 7.4774 Å
α = 90.00°, β = 106.28°, γ = 90.00°
Last column: nearest neighbours and their distance in Å.
Positions (direct):
Cl 0.1513 0.0113 0.2897  1 F 1.69
Cl 0.1513 0.4887 0.7897  1 F 1.69
Cl 0.8487 0.5113 0.2103  1 F 1.69
Cl 0.8487 0.9887 0.7103  1 F 1.69
F 0.3650 0.2189 0.8461  1 Cl 1.69
F 0.3650 0.2811 0.3461  1 Cl 1.69
F 0.6350 0.7189 0.6539  1 Cl 1.69
F 0.6350 0.7811 0.1539  1 Cl 1.69